No. 1
Ce2Co3Ir: optimized geometry, PBE-GGA.

Cell and atoms, written as CIF:
```
data_Ce2Co3Ir
_cell_length_a 8.7750
_cell_length_b 5.0706
_cell_length_c 5.1599
_cell_angle_alpha 90.00
_cell_angle_beta 124.61
_cell_angle_gamma 90.00
_space_group_name_H-M_alt 'C 1 2/m 1'
_space_group_IT_number 12
loop_
_space_group_symop_operation_xyz
'x,y,z'
'-x,-y,-z'
'-x,y,-z'
'x,-y,z'
'x+1/2,y+1/2,z'
'-x+1/2,-y+1/2,-z'
'-x+1/2,y+1/2,-z'
'x+1/2,-y+1/2,z'
loop_
_atom_site_label
_atom_site_type_symbol
_atom_site_fract_x
_atom_site_fract_y
_atom_site_fract_z
Ce1 Ce 0.1217 0.0000 0.3651
Co1 Co 0.0000 0.5000 0.0000
Co2 Co 0.2500 0.2500 0.0000
Ir1 Ir 0.0000 0.5000 0.5000
```

- Calculated volume: 94.5 Å³/f.u.
- Formation energy from the elements: -0.40 eV/atom


No. 2
Ce4CoIr: optimized geometry, PBE-GGA.

Cell and atoms, written as CIF:
```
data_Ce4CoIr
_cell_length_a 8.4008
_cell_length_b 12.9575
_cell_length_c 6.7801
_cell_angle_alpha 90.00
_cell_angle_beta 127.82
_cell_angle_gamma 90.00
_space_group_name_H-M_alt 'C 1 2/c 1'
_space_group_IT_number 15
loop_
_space_group_symop_operation_xyz
'x,y,z'
'-x,-y,-z'
'-x,y,-z+1/2'
'x,-y,z+1/2'
'x+1/2,y+1/2,z'
'-x+1/2,-y+1/2,-z'
'-x+1/2,y+1/2,-z+1/2'
'x+1/2,-y+1/2,z+1/2'
loop_
_atom_site_label
_atom_site_type_symbol
_atom_site_fract_x
_atom_site_fract_y
_atom_site_fract_z
Ce1 Ce 0.2332 0.2379 0.2488
Ce2 Ce 0.2392 0.4864 0.7534
Co1 Co 0.0000 0.3776 0.2500
Ir1 Ir 0.0000 0.1265 0.7500
```

- Calculated volume: 145.8 Å³/f.u.
- Formation energy from the elements: -0.26 eV/atom
- E above lowest polymorph: 0 meV per atom